TlSn3As after structural relaxation. Source: Alexandria, functional PBE.

Structure (extended XYZ):
```
5
Lattice="5.641 0.000 0.000 0.000 5.641 0.000 0.000 0.000 5.641" Properties=species:S:1:pos:R:3 pbc="T T T"
Tl 0.000 0.000 0.000
Sn 0.000 0.000 2.821
Sn 0.000 2.821 0.000
Sn 2.821 0.000 0.000
As 2.821 2.821 2.821
```

Properties
space-group type	No. 221
total energy	-2.921	eV/atom
energy relative to the lowest polymorph listed for this composition	48.51	kJ per mole of atoms
magnetic moment	0.00	μB per formula unit

=====

Tl12Sn3As5 after structural relaxation. Source: Alexandria, functional PBE.

Structure (extended XYZ):
```
80
Lattice="-8.741 8.741 8.741 8.741 -8.741 8.741 8.741 8.741 -8.741" Properties=species:S:1:pos:R:3 pbc="T T T"
Tl 2.662 -0.365 1.230
Tl 10.450 5.600 -4.735
Tl 8.376 -1.230 2.662
Tl 13.476 -1.709 3.141
Tl 11.403 0.365 1.230
Tl 10.450 -3.141 4.735
Tl 1.230 2.662 -0.365
Tl 11.881 4.006 -1.709
Tl 5.600 4.735 -1.709
Tl 7.511 2.662 0.365
Tl -0.365 1.230 2.662
Tl 4.735 -1.709 5.600
Tl 8.376 7.511 -2.662
Tl 4.735 1.709 3.141
Tl 7.511 -2.662 8.376
Tl 5.600 -4.735 10.450
Tl 3.141 4.735 1.709
Tl 9.971 6.079 0.365
Tl 2.662 8.376 -1.230
Tl 10.450 3.141 4.006
Tl 4.735 10.450 -3.141
Tl 8.376 1.230 6.079
Tl 1.709 3.141 4.735
Tl 2.662 0.365 7.511
Tl 6.079 8.376 1.230
Tl 7.032 5.600 4.006
Tl 0.365 7.511 2.662
Tl 4.006 -1.709 11.881
Tl -1.709 5.600 4.735
Tl 6.079 0.365 9.971
Tl -1.230 2.662 8.376
Tl 5.600 4.006 7.032
Tl 3.141 13.476 -1.709
Tl 1.230 11.403 0.365
Tl 4.006 7.032 5.600
Tl 0.365 1.230 11.403
Tl 4.006 10.450 3.141
Tl 9.106 7.511 6.079
Tl 1.230 6.079 8.376
Tl 3.141 4.006 10.450
Tl -3.141 4.735 10.450
Tl 7.511 6.079 9.106
Tl -1.709 11.881 4.006
Tl -2.662 8.376 7.511
Tl -4.735 10.450 5.600
Tl 0.365 9.971 6.079
Tl -1.709 3.141 13.476
Tl 6.079 9.106 7.511
Sn 4.370 2.185 0.000
Sn 8.741 4.370 -2.185
Sn 2.185 0.000 4.370
Sn 10.926 0.000 4.370
Sn 0.000 4.370 2.185
Sn 4.370 -2.185 8.741
Sn 4.370 10.926 0.000
Sn 8.741 4.370 6.556
Sn -2.185 8.741 4.370
Sn 6.556 8.741 4.370
Sn 0.000 4.370 10.926
Sn 4.370 6.556 8.741
As 0.000 0.000 0.000
As 4.370 4.370 -4.370
As 4.370 -4.370 4.370
As 8.741 0.000 0.000
As 13.111 2.185 0.000
As 8.741 -4.370 6.556
As 6.556 8.741 -4.370
As 6.556 0.000 4.370
As 4.370 6.556 0.000
As 8.741 4.370 2.185
As -4.370 4.370 4.370
As 0.000 8.741 0.000
As 0.000 0.000 8.741
As 4.370 4.370 4.370
As 0.000 4.370 6.556
As 4.370 2.185 8.741
As 2.185 8.741 4.370
As 2.185 0.000 13.111
As 0.000 13.111 2.185
As -4.370 6.556 8.741
```

Properties
space-group type	No. 230
total energy	-3.022	eV/atom
magnetic moment	0.00	μB per formula unit

=====

TlSnAs after structural relaxation. Source: Alexandria, functional PBE.

Structure (extended XYZ):
```
3
Lattice="-1.848 1.848 6.020 1.848 -1.848 6.020 1.848 1.848 -6.020" Properties=species:S:1:pos:R:3 pbc="T T T"
Tl 0.000 0.000 0.000
Sn 0.000 0.000 3.472
As 0.000 0.000 8.246
```

Properties
space-group type	No. 107
total energy	-3.645	eV/atom
energy relative to the lowest polymorph listed for this composition	9.65	kJ per mole of atoms
magnetic moment	0.00	μB per formula unit

=====

TlSnAs after structural relaxation. Source: Alexandria, functional PBE.

Structure (extended XYZ):
```
3
Lattice="0.000 3.581 3.581 3.581 0.000 3.581 3.581 3.581 0.000" Properties=species:S:1:pos:R:3 pbc="T T T"
Tl 0.000 0.000 0.000
Sn 3.581 3.581 3.581
As 1.790 1.790 1.790
```

Properties
space-group type	No. 216
total energy	-3.591	eV/atom
energy relative to the lowest polymorph listed for this composition	14.86	kJ per mole of atoms
magnetic moment	0.00	μB per formula unit

=====

TlSnAs after structural relaxation. Source: Alexandria, functional PBE.

Structure (extended XYZ):
```
6
Lattice="4.076 0.000 0.000 0.000 8.353 0.000 0.000 0.000 5.335" Properties=species:S:1:pos:R:3 pbc="T T T"
Tl 0.000 0.744 0.000
Tl 2.038 7.609 2.668
Sn 0.000 2.908 3.015
Sn 2.038 5.446 0.347
As 0.000 5.498 3.848
As 2.038 2.855 1.181
```

Properties
space-group type	No. 31
total energy	-3.740	eV/atom
energy relative to the lowest polymorph listed for this composition	0.44	kJ per mole of atoms
magnetic moment	0.00	μB per formula unit

=====

TlSnAs after structural relaxation. Source: Alexandria, functional PBE.

Structure (extended XYZ):
```
6
Lattice="4.196 0.000 0.000 2.079 6.459 0.000 2.080 2.150 6.457" Properties=species:S:1:pos:R:3 pbc="T T T"
Tl 1.045 1.611 0.598
Tl 7.310 6.998 5.860
Sn 3.133 2.675 3.077
Sn 5.221 5.934 3.380
As 3.124 5.205 1.724
As 5.231 3.404 4.734
```

Properties
space-group type	No. 2
total energy	-3.720	eV/atom
energy relative to the lowest polymorph listed for this composition	2.37	kJ per mole of atoms
magnetic moment	0.00	μB per formula unit

=====

TlSnAs2 after structural relaxation. Source: Alexandria, functional PBE.

Structure (extended XYZ):
```
16
Lattice="4.102 -8.306 0.000 4.102 8.306 0.000 -3.992 0.000 5.882" Properties=species:S:1:pos:R:3 pbc="T T T"
Tl 1.108 7.282 4.411
Tl 3.104 5.205 1.470
Tl 1.108 -5.205 4.411
Tl 3.104 -7.282 1.470
Sn 1.108 3.124 4.411
Sn 3.104 1.040 1.470
Sn 1.108 -1.040 4.411
Sn 3.104 -3.124 1.470
As 1.059 3.114 1.576
As -0.837 1.047 4.517
As 1.159 -1.047 1.576
As -0.937 -3.114 4.517
As 5.148 3.114 1.365
As 3.052 1.047 4.305
As 5.048 -1.047 1.365
As 3.152 -3.114 4.306
```

Properties
space-group type	No. 15
total energy	-3.866	eV/atom
energy relative to the lowest polymorph listed for this composition	0.70	kJ per mole of atoms
magnetic moment	0.00	μB per formula unit

=====

TlSnAs after structural relaxation. Source: Alexandria, functional PBE.

Structure (extended XYZ):
```
6
Lattice="4.106 0.000 0.000 0.000 6.740 0.000 -1.985 0.000 6.427" Properties=species:S:1:pos:R:3 pbc="T T T"
Tl 0.057 0.000 0.651
Tl 2.064 3.370 5.776
Sn 0.039 5.737 4.195
Sn 2.082 2.367 2.232
As 0.030 1.750 3.972
As 2.091 5.120 2.455
```

Properties
space-group type	No. 4
total energy	-3.735	eV/atom
energy relative to the lowest polymorph listed for this composition	0.95	kJ per mole of atoms
magnetic moment	0.00	μB per formula unit